VASP calculation (PBE) on a relaxed KInAs2 crystal.

Geometry as CIF:
```
data_KInAs2
_cell_length_a 4.3221
_cell_length_b 4.3815
_cell_length_c 6.7166
_cell_angle_alpha 90.00
_cell_angle_beta 108.36
_cell_angle_gamma 90.00
_space_group_name_H-M_alt 'P 1'
_space_group_IT_number 1
_space_group_name_Hall 'P 1'
loop_
_atom_site_label
_atom_site_type_symbol
_atom_site_fract_x
_atom_site_fract_y
_atom_site_fract_z
K1 K 0.0000 0.0000 0.0000
In1 In 0.2840 0.5000 0.5787
As1 As 0.6219 0.5000 0.2491
As2 As 0.7259 0.0000 0.4605
```

Calculated values
- energy relative to the elements (eV/atom) = -0.1831
- DOS(E_F) (states/eV/cell) = 1.676
- spin magnetization (μB per formula unit) = 0.00